(1)
Density functional theory data (PBE) for MgTcMo2 after structural relaxation.

- Formation energy from the elements: 0.202 eV/atom
- V: 15.8 Å³ per atom

abc: 4.5164 2.6863 5.3090
angles: 78.46 90.00 90.00
Atoms (fractional coordinates):
Tc 0.5000 0.2500 0.2500
Mg 0.5000 0.7500 0.7500
Mo 0.0000 0.4759 0.4992
Mo 0.0000 0.0241 0.0008



(2)
Density functional theory data (PBE) for MgTcMo2 after structural relaxation.

- Formation energy from the elements: 0.278 eV/atom
- V: 15.7 Å³ per atom

abc: 4.4646 4.4646 4.4646
angles: 60.00 60.00 60.00
Atoms (fractional coordinates):
Mg 0.5000 0.5000 0.5000
Mo 0.7500 0.7500 0.7500
Mo 0.0000 0.0000 0.0000
Tc 0.2500 0.2500 0.2500



(3)
Density functional theory data (PBE) for MgTcMoW2 after structural relaxation.

- Formation energy from the elements: 1.777 eV/atom
- V: 21.4 Å³ per atom

abc: 4.7541 4.7245 4.7541
angles: 90.00 90.00 90.00
Atoms (fractional coordinates):
W 0.5000 0.0000 0.0000
W 0.0000 0.0000 0.5000
Mg 0.5000 0.5000 0.5000
Tc 0.0000 0.5000 0.0000
Mo 0.0000 0.0000 0.0000



(4)
Density functional theory data (PBE) for MgTc2MoW after structural relaxation.

- Formation energy from the elements: 1.500 eV/atom
- V: 21.6 Å³ per atom

abc: 4.7387 4.7994 4.7387
angles: 90.00 90.00 90.00
Last column: magnetic moment on the atom in μB.
Atoms (fractional coordinates):
W 0.0000 0.0000 0.0000  -0.08
Mo 0.0000 0.5000 0.0000  0.93
Mg 0.5000 0.5000 0.5000  -0.01
Tc 0.0000 0.0000 0.5000  0.68
Tc 0.5000 0.0000 0.0000  0.60



(5)
Density functional theory data (PBE) for MgZnTcMo after structural relaxation.

- Formation energy from the elements: 0.096 eV/atom
- V: 15.3 Å³ per atom

abc: 4.4261 4.4261 4.4261
angles: 60.00 60.00 60.00
Atoms (fractional coordinates):
Mo 0.2500 0.2500 0.2500
Tc 0.5000 0.5000 0.5000
Zn 0.0000 0.0000 0.0000
Mg 0.7500 0.7500 0.7500



(6)
Density functional theory data (PBE) for MgTeMo2 after structural relaxation.

- Polymorph energy (0 for the lowest one): 277 meV/atom
- V: 18.9 Å³ per atom
- Uncorrected formation energy: 0.4682 eV per atom

abc: 4.7198 3.0259 5.3017
angles: 87.23 90.00 90.00
Atoms (fractional coordinates):
Mg 0.5000 0.7500 0.7500
Te 0.5000 0.2500 0.2500
Mo 0.0000 0.3970 0.5308
Mo 0.0000 0.1030 0.9692



(7)
Density functional theory data (PBE) for MgTeMo2 after structural relaxation.

- Polymorph energy (0 for the lowest one): 340 meV/atom
- V: 19.2 Å³ per atom
- Uncorrected formation energy: 0.5318 eV per atom

abc: 3.9177 3.9177 10.3738
angles: 79.12 79.12 90.00
Atoms (fractional coordinates):
Te 0.0000 0.0000 0.0000
Te 0.7500 0.2500 0.5000
Mo 0.3750 0.3691 0.7500
Mo 0.8750 0.8809 0.7500
Mo 0.6309 0.1250 0.2500
Mo 0.1191 0.6250 0.2500
Mg 0.5000 0.5000 0.0000
Mg 0.2500 0.7500 0.5000



(8)
Density functional theory data (PBE) for MgTeMo2 after structural relaxation.

- Polymorph energy (0 for the lowest one): 272 meV/atom
- V: 18.0 Å³ per atom
- Uncorrected formation energy: 0.4639 eV per atom

abc: 3.4874 4.4567 4.6357
angles: 90.00 90.00 90.00
Atoms (fractional coordinates):
Mo 0.5000 0.5000 0.0000
Mo 0.0000 0.0000 0.0000
Mg 0.0000 0.5000 0.5000
Te 0.5000 0.0000 0.5000



(9)
Density functional theory data (PBE) for MgTeMo2 after structural relaxation.

- Polymorph energy (0 for the lowest one): 339 meV/atom
- V: 18.4 Å³ per atom
- Uncorrected formation energy: 0.5307 eV per atom

abc: 3.3216 3.3216 6.6720
angles: 90.00 90.00 90.00
Atoms (fractional coordinates):
Mo 0.0000 0.0000 0.4688
Mo 0.0000 0.0000 0.0312
Te 0.5000 0.5000 0.2500
Mg 0.5000 0.5000 0.7500



(10)
Density functional theory data (PBE) for MgTe3Mo after structural relaxation.

- Polymorph energy (0 for the lowest one): 536 meV/atom
- V: 31.2 Å³ per atom
- Uncorrected formation energy: 0.8768 eV per atom

abc: 5.3817 5.3817 5.3817
angles: 90.00 90.00 90.00
Last column: magnetic moment on the atom in μB.
Atoms (fractional coordinates):
Mo 0.5000 0.5000 0.5000  3.58
Mg 0.0000 0.0000 0.0000  0.00
Te 0.5000 0.0000 0.0000  -0.22
Te 0.0000 0.5000 0.0000  -0.35
Te 0.0000 0.0000 0.5000  -0.29



(11)
Density functional theory data (PBE) for MgTeMo2 after structural relaxation.

- Polymorph energy (0 for the lowest one): 139 meV/atom
- V: 18.4 Å³ per atom
- Uncorrected formation energy: 0.3305 eV per atom

abc: 5.1080 5.1080 4.8148
angles: 69.75 69.75 38.94
Atoms (fractional coordinates):
Mg 0.2605 0.2605 0.2208
Te 0.4880 0.4880 0.5198
Mo 0.7306 0.7306 0.7475
Mo 0.0209 0.0209 0.0119



(12)
Density functional theory data (PBE) for MgTeMo2 after structural relaxation.

- Polymorph energy (0 for the lowest one): 161 meV/atom
- V: 20.0 Å³ per atom
- Uncorrected formation energy: 0.3528 eV per atom

abc: 3.0337 3.0337 9.4351
angles: 90.00 90.00 112.89
Atoms (fractional coordinates):
Mo 0.0000 0.0000 0.0222
Mo 0.5000 0.5000 0.2220
Te 0.0000 0.0000 0.4771
Mg 0.5000 0.5000 0.7786



(13)
Density functional theory data (PBE) for MgTeMo2 after structural relaxation.

- Polymorph energy (0 for the lowest one): 535 meV/atom
- V: 18.8 Å³ per atom
- Uncorrected formation energy: 0.7260 eV per atom

abc: 2.9904 2.9904 8.9899
angles: 90.00 90.00 111.04
Atoms (fractional coordinates):
Mg 0.5000 0.5000 0.7500
Mo 0.0000 0.0000 0.4906
Mo 0.0000 0.0000 0.0094
Te 0.5000 0.5000 0.2500



(14)
Density functional theory data (PBE) for MgTeMo2 after structural relaxation.

- Polymorph energy (0 for the lowest one): 360 meV/atom
- V: 18.7 Å³ per atom
- Uncorrected formation energy: 0.5519 eV per atom

abc: 9.0813 9.0813 9.0813
angles: 19.77 19.77 19.77
Atoms (fractional coordinates):
Mo 0.5052 0.5052 0.5052
Mo 0.9948 0.9948 0.9948
Te 0.2500 0.2500 0.2500
Mg 0.7500 0.7500 0.7500



(15)
Density functional theory data (PBE) for MgTeMo2 after structural relaxation.

- Polymorph energy (0 for the lowest one): 375 meV/atom
- V: 18.1 Å³ per atom
- Uncorrected formation energy: 0.5663 eV per atom

abc: 5.4949 5.3146 3.0046
angles: 80.02 77.79 117.20
Atoms (fractional coordinates):
Te 0.0000 0.5000 0.5000
Mo 0.5000 0.0000 0.5000
Mo 0.0000 0.0000 0.0000
Mg 0.5000 0.5000 0.0000